## one
Below is a relaxed structure of Cr3BRu, with properties calculated at the PBE-GGA level.

The space group is Pm-3m (No. 221) and the conventional cell measures 3.872, 3.872 and 3.872 Å, with angles of 90.00, 90.00 and 90.00 degrees. Symmetry generates all atoms from Cr at (0.000, 0.000, 0.500), B at (0.000, 0.000, 0.000) and Ru at (0.500, 0.500, 0.500).

The density of states at the Fermi level comes out at 5.6 states/eV per cell. As for the total magnetization: 0.00 μB/atom.

## two
Below is a relaxed structure of Cr3BRu, with properties calculated at the PBE-GGA level.

The space group is Pm-3m (No. 221) and the conventional cell measures 4.586, 4.586 and 4.586 Å, with angles of 90.00, 90.00 and 90.00 degrees. Symmetry generates all atoms from Cr at (0.000, 0.000, 0.500), B at (0.500, 0.500, 0.500) and Ru at (0.000, 0.000, 0.000).

The density of states at the Fermi level comes out at 4.1 states/eV per cell. As for the total magnetization: 1.74 μB/atom.

The winner here is one, beating the second structure by 172.2 kJ/mol of atoms.

## one
Below is a relaxed structure of CrB2Ru, with properties calculated at the PBE-GGA level.

The space group is I-42d (No. 122) and the conventional cell measures 4.438, 4.438 and 10.042 Å, with angles of 90.00, 90.00 and 90.00 degrees. Symmetry generates all atoms from Cr at (0.000, 0.000, 0.000), B at (0.246, 0.250, 0.625) and Ru at (0.000, 0.000, 0.500).

The density of states at the Fermi level comes out at 23.5 states/eV per cell. As for the total magnetization: 0.00 μB/atom.

## two
Below is a relaxed structure of CrB2Ru, with properties calculated at the PBE-GGA level.

The space group is Fm-3m (No. 225) and the conventional cell measures 5.289, 5.289 and 5.289 Å, with angles of 90.00, 90.00 and 90.00 degrees. Symmetry generates all atoms from Cr at (0.000, 0.000, 0.000), B at (0.250, 0.250, 0.250) and Ru at (0.000, 0.000, 0.500).

The density of states at the Fermi level comes out at 23.3 states/eV per cell. As for the total magnetization: 0.00 μB/atom.

## three
Below is a relaxed structure of CrB2Ru, with properties calculated at the PBE-GGA level.

The space group is Pmc2_1 (No. 26) and the conventional cell measures 2.910, 4.320 and 5.826 Å, with angles of 90.00, 90.00 and 90.00 degrees. Symmetry generates all atoms from Cr at (0.000, 0.127, 0.000), B at (0.000, 0.347, 0.346), B at (0.500, 0.131, 0.282) and Ru at (0.500, 0.366, 0.638).

The density of states at the Fermi level comes out at 7.3 states/eV per cell. As for the total magnetization: 0.00 μB/atom.

The winner here is three, beating the second structure by 43.3 kJ/mol of atoms.

## one
Below is a relaxed structure of CrBS3, with properties calculated at the PBE-GGA level.

The space group is Pm-3m (No. 221) and the conventional cell measures 4.092, 4.092 and 4.092 Å, with angles of 90.00, 90.00 and 90.00 degrees. Symmetry generates all atoms from Cr at (0.000, 0.000, 0.000), B at (0.500, 0.500, 0.500) and S at (0.000, 0.500, 0.500).

The density of states at the Fermi level comes out at 4.8 states/eV per cell. As for the total magnetization: 0.05 μB/atom.

## two
Below is a relaxed structure of CrBS3, with properties calculated at the PBE-GGA level.

The space group is Pm-3m (No. 221) and the conventional cell measures 4.474, 4.474 and 4.474 Å, with angles of 90.00, 90.00 and 90.00 degrees. Symmetry generates all atoms from Cr at (0.000, 0.000, 0.000), B at (0.500, 0.500, 0.500) and S at (0.000, 0.000, 0.500).

The density of states at the Fermi level comes out at 5.5 states/eV per cell. As for the total magnetization: 0.00 μB/atom.

The winner here is one, beating the second structure by 8.1 kJ/mol of atoms.

## one
Below is a relaxed structure of Cr2BS, with properties calculated at the PBE-GGA level.

The space group is I-42d (No. 122) and the conventional cell measures 4.948, 4.948 and 9.695 Å, with angles of 90.00, 90.00 and 90.00 degrees. Symmetry generates all atoms from Cr at (0.205, 0.250, 0.125), B at (0.000, 0.000, 0.000) and S at (0.000, 0.000, 0.500).

The density of states at the Fermi level comes out at 10.2 states/eV per cell. As for the total magnetization: 1.03 μB/atom.

## two
Below is a relaxed structure of Cr2BS, with properties calculated at the PBE-GGA level.

The space group is Fm-3m (No. 225) and the conventional cell measures 5.440, 5.440 and 5.440 Å, with angles of 90.00, 90.00 and 90.00 degrees. Symmetry generates all atoms from Cr at (0.250, 0.250, 0.250), B at (0.000, 0.000, 0.000) and S at (0.000, 0.000, 0.500).

The density of states at the Fermi level comes out at 11.4 states/eV per cell. As for the total magnetization: 0.31 μB/atom.

The winner here is two, beating the second structure by 6.1 kJ/mol of atoms.

## one
Below is a relaxed structure of CrBSbTe2, with properties calculated at the PBE-GGA level.

The space group is P4/mmm (No. 123) and the conventional cell measures 4.758, 4.758 and 4.717 Å, with angles of 90.00, 90.00 and 90.00 degrees. Symmetry generates all atoms from Cr at (0.000, 0.000, 0.000), B at (0.500, 0.500, 0.500), Sb at (0.500, 0.500, 0.000) and Te at (0.000, 0.500, 0.500).

The density of states at the Fermi level comes out at 4.8 states/eV per cell. As for the total magnetization: 0.00 μB/atom.

## two
Below is a relaxed structure of CrBSbTe2, with properties calculated at the PBE-GGA level.

The space group is P4/mmm (No. 123) and the conventional cell measures 5.224, 5.224 and 5.025 Å, with angles of 90.00, 90.00 and 90.00 degrees. Symmetry generates all atoms from Cr at (0.000, 0.000, 0.000), B at (0.500, 0.500, 0.500), Sb at (0.000, 0.000, 0.500) and Te at (0.000, 0.500, 0.000).

The density of states at the Fermi level comes out at 4.8 states/eV per cell. As for the total magnetization: 0.50 μB/atom.

The winner here is two, beating the second structure by 0.5 kJ/mol of atoms.

## one
Below is a relaxed structure of Cr2SiB, with properties calculated at the PBE-GGA level.

The space group is P2_1/m (No. 11) and the conventional cell measures 4.548, 3.018 and 6.416 Å, with angles of 90.00, 108.91 and 90.00 degrees. Symmetry generates all atoms from Cr at (0.174, 0.250, 0.393), Cr at (0.253, 0.750, 0.043), Si at (0.377, 0.750, 0.705) and B at (0.118, 0.250, 0.796).

The density of states at the Fermi level comes out at 7.6 states/eV per cell. As for the total magnetization: 0.00 μB/atom.

## two
Below is a relaxed structure of Cr2SiB, with properties calculated at the PBE-GGA level.

The space group is I-42d (No. 122) and the conventional cell measures 6.370, 6.370 and 4.362 Å, with angles of 90.00, 90.00 and 90.00 degrees. Symmetry generates all atoms from Cr at (0.180, 0.750, 0.125), Si at (0.000, 0.000, 0.500) and B at (0.000, 0.000, 0.000).

The density of states at the Fermi level comes out at 11.6 states/eV per cell. As for the total magnetization: 0.00 μB/atom.

The winner here is one, beating the second structure by 39.3 kJ/mol of atoms.

## one
Below is a relaxed structure of CrSiB3, with properties calculated at the PBE-GGA level.

The space group is Pm-3m (No. 221) and the conventional cell measures 3.904, 3.904 and 3.904 Å, with angles of 90.00, 90.00 and 90.00 degrees. Symmetry generates all atoms from Cr at (0.000, 0.000, 0.000), Si at (0.500, 0.500, 0.500) and B at (0.000, 0.000, 0.500).

The density of states at the Fermi level comes out at 2.2 states/eV per cell. As for the total magnetization: 0.05 μB/atom.

## two
Below is a relaxed structure of CrSiB3, with properties calculated at the PBE-GGA level.

The space group is Pm-3m (No. 221) and the conventional cell measures 3.846, 3.846 and 3.846 Å, with angles of 90.00, 90.00 and 90.00 degrees. Symmetry generates all atoms from Cr at (0.000, 0.000, 0.000), Si at (0.500, 0.500, 0.500) and B at (0.000, 0.500, 0.500).

The density of states at the Fermi level comes out at 7.0 states/eV per cell. As for the total magnetization: 0.06 μB/atom.

The winner here is one, beating the second structure by 55.1 kJ/mol of atoms.

## one
Below is a relaxed structure of CrSi3B, with properties calculated at the PBE-GGA level.

The space group is Pm-3m (No. 221) and the conventional cell measures 4.038, 4.038 and 4.038 Å, with angles of 90.00, 90.00 and 90.00 degrees. Symmetry generates all atoms from Cr at (0.000, 0.000, 0.000), Si at (0.000, 0.500, 0.500) and B at (0.500, 0.500, 0.500).

The density of states at the Fermi level comes out at 5.0 states/eV per cell. As for the total magnetization: 0.09 μB/atom.

## two
Below is a relaxed structure of CrSi3B, with properties calculated at the PBE-GGA level.

The space group is Pm-3m (No. 221) and the conventional cell measures 4.431, 4.431 and 4.431 Å, with angles of 90.00, 90.00 and 90.00 degrees. Symmetry generates all atoms from Cr at (0.000, 0.000, 0.000), Si at (0.000, 0.000, 0.500) and B at (0.500, 0.500, 0.500).

The density of states at the Fermi level comes out at 5.4 states/eV per cell. As for the total magnetization: 0.12 μB/atom.

The winner here is one, beating the second structure by 15.1 kJ/mol of atoms.

## one
Below is a relaxed structure of CrSnB2, with properties calculated at the PBE-GGA level.

The space group is I-42d (No. 122) and the conventional cell measures 4.915, 4.915 and 10.035 Å, with angles of 90.00, 90.00 and 90.00 degrees. Symmetry generates all atoms from Cr at (0.000, 0.000, 0.000), Sn at (0.000, 0.000, 0.500) and B at (0.192, 0.250, 0.125).

The density of states at the Fermi level comes out at 3.3 states/eV per cell. As for the total magnetization: 0.00 μB/atom.

## two
Below is a relaxed structure of CrSnB2, with properties calculated at the PBE-GGA level.

The space group is Fm-3m (No. 225) and the conventional cell measures 5.697, 5.697 and 5.697 Å, with angles of 90.00, 90.00 and 90.00 degrees. Symmetry generates all atoms from Cr at (0.000, 0.000, 0.000), Sn at (0.000, 0.000, 0.500) and B at (0.250, 0.250, 0.250).

The density of states at the Fermi level comes out at 12.8 states/eV per cell. As for the total magnetization: 0.00 μB/atom.

The winner here is one, beating the second structure by 38.2 kJ/mol of atoms.

## one
Below is a relaxed structure of Cr2SnB, with properties calculated at the PBE-GGA level.

The space group is Fm-3m (No. 225) and the conventional cell measures 5.884, 5.884 and 5.884 Å, with angles of 90.00, 90.00 and 90.00 degrees. Symmetry generates all atoms from Cr at (0.250, 0.250, 0.250), Sn at (0.000, 0.000, 0.000) and B at (0.000, 0.000, 0.500).

The density of states at the Fermi level comes out at 18.9 states/eV per cell. As for the total magnetization: 0.00 μB/atom.

## two
Below is a relaxed structure of Cr2SnB, with properties calculated at the PBE-GGA level.

The space group is I-42d (No. 122) and the conventional cell measures 3.714, 3.714 and 16.504 Å, with angles of 90.00, 90.00 and 90.00 degrees. Symmetry generates all atoms from Cr at (0.142, 0.250, 0.125), Sn at (0.000, 0.000, 0.500) and B at (0.000, 0.000, 0.000).

The density of states at the Fermi level comes out at 11.1 states/eV per cell. As for the total magnetization: 0.00 μB/atom.

The winner here is two, beating the second structure by 12.9 kJ/mol of atoms.

## one
Below is a relaxed structure of Sr2Cr2B, with properties calculated at the PBE-GGA level.

The space group is I4/mmm (No. 139) and the conventional cell measures 3.255, 3.255 and 19.564 Å, with angles of 90.00, 90.00 and 90.00 degrees. Symmetry generates all atoms from Sr at (0.000, 0.000, 0.092), Cr at (0.000, 0.500, 0.250) and B at (0.000, 0.000, 0.500).

The density of states at the Fermi level comes out at 8.5 states/eV per cell. As for the total magnetization: 0.00 μB/atom.

## two
Below is a relaxed structure of Sr2Cr2B, with properties calculated at the PBE-GGA level.

The space group is P4/mbm (No. 127) and the conventional cell measures 8.263, 8.263 and 4.303 Å, with angles of 90.00, 90.00 and 90.00 degrees. Symmetry generates all atoms from Sr at (0.203, 0.297, 0.000), Cr at (0.075, 0.575, 0.500) and B at (0.000, 0.000, 0.000).

The density of states at the Fermi level comes out at 9.5 states/eV per cell. As for the total magnetization: 0.00 μB/atom.

The winner here is one, beating the second structure by 53.5 kJ/mol of atoms.

## one
Below is a relaxed structure of Sr2CrB2, with properties calculated at the PBE-GGA level.

The space group is P4/mbm (No. 127) and the conventional cell measures 8.163, 8.163 and 3.012 Å, with angles of 90.00, 90.00 and 90.00 degrees. Symmetry generates all atoms from Sr at (0.144, 0.356, 0.000), Cr at (0.000, 0.000, 0.000) and B at (0.155, 0.655, 0.500).

The density of states at the Fermi level comes out at 13.0 states/eV per cell. As for the total magnetization: 0.01 μB/atom.

## two
Below is a relaxed structure of Sr2CrB2, with properties calculated at the PBE-GGA level.

The space group is I4/mmm (No. 139) and the conventional cell measures 2.930, 2.930 and 20.407 Å, with angles of 90.00, 90.00 and 90.00 degrees. Symmetry generates all atoms from Sr at (0.000, 0.000, 0.124), Cr at (0.000, 0.000, 0.500) and B at (0.000, 0.500, 0.250).

The density of states at the Fermi level comes out at 8.8 states/eV per cell. As for the total magnetization: 0.00 μB/atom.

The winner here is two, beating the second structure by 31.2 kJ/mol of atoms.